[1]
The following is a PBE-GGA calculation of a relaxed NaPrCuS2 crystal, from Alexandria.

Cell lengths 6.609, 4.910, 7.920 Å; angles 90.00, 90.01, 90.00 degrees
Sites, in units of the cell vectors:
Na 0.000 0.001 0.250
Na 0.000 0.999 0.750
Pr 0.500 0.500 0.250
Pr 0.500 0.500 0.750
Cu 0.500 0.000 0.000
Cu 0.500 0.000 0.500
S 0.241 0.280 0.000
S 0.241 0.720 0.500
S 0.759 0.280 0.500
S 0.759 0.720 0.000

Output
E_tot (eV/cell): -46.85
Formation energy (no corrections) (eV/atom): -1.00
Crystal system: monoclinic
SG: P2/c (13)

[2]
The following is a PBE-GGA calculation of a relaxed KCr2Rh crystal, from Alexandria.

Cell lengths 3.075, 3.075, 8.819 Å; angles 90.00, 90.00, 90.00 degrees
Sites, in units of the cell vectors:
K 0.000 0.000 0.000
Cr 0.500 0.500 0.330
Cr 0.500 0.500 0.670
Rh 0.000 0.000 0.500

Output
E_tot (eV/cell): -24.89
Polymorph energy (0 for the lowest one) (meV per atom): 146.4
Crystal system: tetragonal
SG: P4/mmm (123)

[3]
The following is a PBE-GGA calculation of a relaxed SrAcZn2Pd2 crystal, from Alexandria.

Cell lengths 4.496, 4.496, 8.477 Å; angles 90.00, 90.00, 120.00 degrees
Sites, in units of the cell vectors:
Sr 0.000 0.000 0.000
Ac 0.000 0.000 0.500
Zn 0.333 0.667 0.755
Zn 0.667 0.333 0.245
Pd 0.333 0.667 0.264
Pd 0.667 0.333 0.736

Output
E_tot (eV/cell): -22.43
Crystal system: trigonal
SG: P-3m1 (164)

[4]
The following is a PBE-GGA calculation of a relaxed TlAgSbTe3 crystal, from Alexandria.

Cell lengths 9.506, 4.281, 9.943 Å; angles 90.00, 104.48, 90.00 degrees
Sites, in units of the cell vectors:
Tl 0.195 0.250 0.261
Tl 0.805 0.750 0.739
Ag 0.066 0.250 0.591
Ag 0.934 0.750 0.409
Sb 0.329 0.750 0.866
Sb 0.671 0.250 0.134
Te 0.108 0.250 0.887
Te 0.244 0.750 0.539
Te 0.452 0.750 0.172
Te 0.548 0.250 0.828
Te 0.756 0.250 0.461
Te 0.892 0.750 0.113

Output
E_tot (eV/cell): -39.05
Formation energy (no corrections) (eV/atom): -0.13
Crystal system: monoclinic
SG: P2_1/m (11)

[5]
The following is a PBE-GGA calculation of a relaxed ReNiHg2 crystal, from Alexandria.

Cell lengths 4.077, 4.077, 4.083 Å; angles 90.00, 90.00, 90.00 degrees
Sites, in units of the cell vectors:
Re 0.000 0.000 0.000
Ni 0.500 0.500 0.000
Hg 0.000 0.500 0.500
Hg 0.500 0.000 0.500

Output
E_tot (eV/cell): -15.49
Polymorph energy (0 for the lowest one) (meV per atom): 407.6
Crystal system: tetragonal
SG: P4/mmm (123)

[6]
The following is a PBE-GGA calculation of a relaxed Te4Mo3WSe2S2 crystal, from Alexandria.

Cell lengths 3.392, 3.392, 35.757 Å; angles 90.00, 90.00, 120.00 degrees
Sites, in units of the cell vectors:
Te 0.000 0.000 0.000
Te 0.000 0.000 0.105
Te 0.333 0.667 0.215
Te 0.333 0.667 0.320
Mo 0.000 0.000 0.267
Mo 0.000 0.000 0.844
Mo 0.333 0.667 0.052
W 0.333 0.667 0.472
Se 0.333 0.667 0.798
Se 0.333 0.667 0.890
S 0.000 0.000 0.430
S 0.000 0.000 0.514

Output
E_tot (eV/cell): -78.74
Polymorph energy (0 for the lowest one) (meV per atom): 0.0
Formation energy (no corrections) (eV/atom): -0.46
Crystal system: trigonal
SG: P3m1 (156)

Number 1: D(E_F) 6.36 states/eV/cell, M_tot 0.0 μB/cell. Number 2: D(E_F) 4.30 states/eV/cell, M_tot 7.7 μB/cell. Number 3: D(E_F) 4.27 states/eV/cell, M_tot 0.0 μB/cell. Number 4: D(E_F) 7.68 states/eV/cell, M_tot 0.0 μB/cell. Number 5: D(E_F) 5.93 states/eV/cell, M_tot 1.0 μB/cell. Number 6: D(E_F) 1.05 states/eV/cell, M_tot 0.0 μB/cell.